(1)
VASP calculation (PBE) on a relaxed PuNp2Pa3P6 crystal.

Output
Theoretical density ... 10.0 g/cm3
E ... -9.59 eV/atom
Spin magnetization ... 13.5 μB/cell
V ... 22.13 Å³/atom

```
PuNp2Pa3P6
1.0
6.897 -0.001 0.000
-3.448 5.974 0.000
-1.150 -1.992 6.446
Pu Pa P Np
1 3 6 2
Cartesian
0.000 0.000 0.000 Pu
-2.303 3.984 3.223 Pa
4.602 -0.004 3.223 Pa
1.149 1.990 3.223 Pa
3.452 1.983 4.836 P
-1.153 1.997 1.610 P
-0.007 3.981 4.836 P
0.003 0.005 4.838 P
2.306 -0.001 1.610 P
2.296 3.975 1.608 P
0.000 3.982 0.000 Np
3.449 1.990 0.000 Np
```


(2)
VASP calculation (PBE) on a relaxed PuNpPa2P4 crystal.

Output
Theoretical density ... 10.0 g/cm3
E ... -9.67 eV/atom
Spin magnetization ... 9.5 μB/cell
V ... 22.18 Å³/atom

```
PuNpPa2P4
1.0
-0.175 3.800 1.170
-6.707 0.113 -1.369
-3.540 -1.895 5.624
Pu P Pa Np
1 4 2 1
Cartesian
-5.123 -0.891 2.127 Pu
-6.001 1.513 0.957 P
-4.421 0.505 4.467 P
-2.734 3.356 2.230 P
-7.688 -1.337 3.194 P
-1.857 0.953 3.397 Pa
-3.540 -1.895 5.624 Pa
-3.441 1.957 -0.100 Np
```


(3)
VASP calculation (PBE) on a relaxed PuNp4Pa3P8 crystal.

Output
Theoretical density ... 10.0 g/cm3
E ... -9.69 eV/atom
Spin magnetization ... 13.5 μB/cell
V ... 22.07 Å³/atom

```
PuNp4Pa3P8
1.0
-5.402 2.394 -5.319
-1.155 -7.515 -2.210
-0.751 2.074 7.638
Pu Np P Pa
1 4 8 3
Cartesian
-0.577 -3.758 -1.105 Pu
-0.375 1.037 3.819 Np
-3.077 2.234 1.160 Np
-2.701 1.197 -2.659 Np
0.000 0.000 0.000 Np
-2.011 -0.237 1.936 P
-5.087 1.995 3.098 P
-4.918 -3.846 -5.645 P
-2.390 0.800 5.754 P
-4.712 0.957 -0.726 P
-2.596 -4.003 0.835 P
-5.297 -2.810 -1.827 P
-2.220 -5.042 -2.989 P
-0.953 -2.721 2.714 Pa
-3.279 -2.560 -3.765 Pa
-3.654 -1.523 0.055 Pa
```